This record from Alexandria via LeMat-Bulk describes an optimized crystal structure of PaMnPbO5. The functional is PBE with a Hubbard U.

Calculated values
The value obtained for the total magnetization is 16.00 μB per cell. The value obtained for the total energy is -7.95 eV/atom. The value obtained for the mass density is 7.30 g/cm³.

a b c (Å): 6.826 10.029 8.135
angles (deg): 90.00 110.56 90.00
Space group C2/c (No. 15)
Inequivalent atoms, fractional coordinates:
Pa  0.000  0.000  0.000
Mn  0.000  0.328  0.250
Pb  0.000  0.332  0.750
O  0.000  0.076  0.750
O  0.072  0.205  0.099
O  0.166  0.458  0.413